Record 1
{"formula": "ReBPO", "functional": "GGA-PBE", "state": "optimized geometry", "lattice": [[3.1468, 0.0000, 0.0000], [0.0000, 3.1468, 0.0000], [0.0000, 0.0000, 8.4833]], "species": ["Re", "Re", "B", "B", "P", "P", "O", "O"], "fractional_positions": [[0.2500, 0.2500, 0.1625], [0.7500, 0.7500, 0.8375], [0.2500, 0.7500, 0.5000], [0.7500, 0.2500, 0.5000], [0.2500, 0.2500, 0.6696], [0.7500, 0.7500, 0.3304], [0.2500, 0.7500, 0.0000], [0.7500, 0.2500, 0.0000]], "m_tot_mub_per_fu": 0.0, "sg": "P4/nmm (129)", "e_above_lowest_polymorph_ev_per_atom": 0.9074}


Record 2
{"formula": "ReBPO", "functional": "GGA-PBE", "state": "optimized geometry", "lattice": [[3.1415, 0.0000, 0.0000], [0.0000, 3.1415, 0.0000], [0.0000, 0.0000, 8.5457]], "species": ["Re", "Re", "B", "B", "P", "P", "O", "O"], "fractional_positions": [[0.2500, 0.2500, 0.1609], [0.7500, 0.7500, 0.8391], [0.2500, 0.7500, 0.5000], [0.7500, 0.2500, 0.5000], [0.2500, 0.2500, 0.6696], [0.7500, 0.7500, 0.3304], [0.2500, 0.7500, 0.0000], [0.7500, 0.2500, 0.0000]], "m_tot_mub_per_fu": 0.0, "sg": "P4/nmm (129)", "e_above_lowest_polymorph_ev_per_atom": 0.9064}


Record 3
{"formula": "ReBPO", "functional": "GGA-PBE", "state": "optimized geometry", "lattice": [[2.8814, 0.0000, 0.0000], [0.0000, 7.7785, 0.0000], [0.0000, 0.0000, 4.5004]], "species": ["Re", "Re", "B", "B", "P", "P", "O", "O"], "fractional_positions": [[0.0000, 0.0667, 0.0000], [0.0000, 0.9333, 0.5000], [0.5000, 0.4129, 0.5707], [0.5000, 0.5871, 0.0707], [0.0000, 0.2337, 0.4578], [0.0000, 0.7663, 0.9578], [0.5000, 0.4475, 0.8766], [0.5000, 0.5525, 0.3766]], "m_tot_mub_per_fu": 0.0, "sg": "Pmc2_1 (26)", "e_above_lowest_polymorph_ev_per_atom": 0.0000}


Record 4
{"formula": "ReBPO", "functional": "GGA-PBE", "state": "optimized geometry", "lattice": [[2.7486, 0.0000, 0.0000], [0.0000, 6.2990, 0.0000], [0.0000, 0.0000, 5.1887]], "species": ["Re", "Re", "B", "B", "P", "P", "O", "O"], "fractional_positions": [[0.0000, 0.0728, 0.0000], [0.0000, 0.9272, 0.5000], [0.5000, 0.3655, 0.4736], [0.5000, 0.6345, 0.9736], [0.5000, 0.3414, 0.8468], [0.5000, 0.6586, 0.3468], [0.0000, 0.2582, 0.3831], [0.0000, 0.7418, 0.8831]], "m_tot_mub_per_fu": 0.0, "sg": "Pmc2_1 (26)", "e_above_lowest_polymorph_ev_per_atom": 0.1161}


Record 5
{"formula": "ReBPO", "functional": "GGA-PBE", "state": "optimized geometry", "lattice": [[3.6109, 0.0000, 0.0000], [0.0000, 3.6109, 0.0000], [0.0000, 0.0000, 7.9459]], "species": ["Re", "Re", "B", "B", "P", "P", "O", "O"], "fractional_positions": [[0.2500, 0.7500, 0.0000], [0.7500, 0.2500, 0.0000], [0.2500, 0.2500, 0.4389], [0.7500, 0.7500, 0.5611], [0.2500, 0.2500, 0.1946], [0.7500, 0.7500, 0.8054], [0.2500, 0.7500, 0.5000], [0.7500, 0.2500, 0.5000]], "m_tot_mub_per_fu": 0.0, "sg": "P4/nmm (129)", "e_above_lowest_polymorph_ev_per_atom": 0.3929}


Record 6
{"formula": "TcBPO", "functional": "GGA-PBE", "state": "optimized geometry", "lattice": [[3.1997, 0.0000, 0.0000], [0.0000, 3.1997, 0.0000], [0.0000, 0.0000, 8.3209]], "species": ["Tc", "Tc", "B", "B", "P", "P", "O", "O"], "fractional_positions": [[0.2500, 0.2500, 0.1588], [0.7500, 0.7500, 0.8412], [0.2500, 0.7500, 0.5000], [0.7500, 0.2500, 0.5000], [0.2500, 0.2500, 0.6651], [0.7500, 0.7500, 0.3349], [0.2500, 0.7500, 0.0000], [0.7500, 0.2500, 0.0000]], "m_tot_mub_per_fu": 0.2, "sg": "P4/nmm (129)", "e_above_lowest_polymorph_ev_per_atom": 0.8439}


Record 7
{"formula": "TcBPO", "functional": "GGA-PBE", "state": "optimized geometry", "lattice": [[2.8905, 0.0000, 0.0000], [0.0000, 6.8384, 0.0000], [0.0000, 0.0000, 4.6239]], "species": ["Tc", "Tc", "B", "B", "P", "P", "O", "O"], "fractional_positions": [[0.0000, 0.1283, 0.0000], [0.0000, 0.8717, 0.5000], [0.5000, 0.3997, 0.5944], [0.5000, 0.6003, 0.0944], [0.0000, 0.2048, 0.4902], [0.0000, 0.7952, 0.9902], [0.5000, 0.4311, 0.9110], [0.5000, 0.5689, 0.4110]], "m_tot_mub_per_fu": 0.0, "sg": "Pmc2_1 (26)", "e_above_lowest_polymorph_ev_per_atom": 0.0000}


Record 8
{"formula": "TcBPO", "functional": "GGA-PBE", "state": "optimized geometry", "lattice": [[3.5704, 0.0000, 0.0000], [0.0000, 3.5704, 0.0000], [0.0000, 0.0000, 7.9753]], "species": ["Tc", "Tc", "B", "B", "P", "P", "O", "O"], "fractional_positions": [[0.2500, 0.7500, 0.0000], [0.7500, 0.2500, 0.0000], [0.2500, 0.2500, 0.4357], [0.7500, 0.7500, 0.5643], [0.2500, 0.2500, 0.1927], [0.7500, 0.7500, 0.8073], [0.2500, 0.7500, 0.5000], [0.7500, 0.2500, 0.5000]], "m_tot_mub_per_fu": 0.0, "sg": "P4/nmm (129)", "e_above_lowest_polymorph_ev_per_atom": 0.3762}